Entry 1:
First-principles (PBE-GGA) data for a relaxed structure of BaMg2Ag, as listed in Alexandria.

Computed properties:
* energy of formation: 28.8 meV per atom
* symmetry: Fm-3m
* uncorrected energy: -1.962 eV per atom

Cell: 7.637 7.637 7.637 Å, 90.00 90.00 90.00°
Fractional coordinates of all 16 atoms:
Ba: 0.000 0.000 0.000
Ba: 0.000 0.500 0.500
Ba: 0.500 0.000 0.500
Ba: 0.500 0.500 0.000
Mg: 0.250 0.250 0.250
Mg: 0.250 0.250 0.750
Mg: 0.250 0.750 0.250
Mg: 0.250 0.750 0.750
Mg: 0.750 0.250 0.250
Mg: 0.750 0.250 0.750
Mg: 0.750 0.750 0.250
Mg: 0.750 0.750 0.750
Ag: 0.000 0.000 0.500
Ag: 0.000 0.500 0.000
Ag: 0.500 0.000 0.000
Ag: 0.500 0.500 0.500

---

Entry 2:
First-principles (PBE-GGA) data for a relaxed structure of BaMg4Ag8, as listed in Alexandria.

Computed properties:
* energy of formation: -135.4 meV per atom
* symmetry: I4/mmm
* uncorrected energy: -2.529 eV per atom

Cell: 7.466 7.466 7.466 Å, 98.61 98.61 134.47°
Fractional coordinates of all 13 atoms:
Ba: 0.000 0.000 0.000
Mg: 0.000 0.000 0.500
Mg: 0.000 0.500 0.000
Mg: 0.500 0.000 0.000
Mg: 0.500 0.500 0.500
Ag: 0.000 0.352 0.352
Ag: 0.000 0.648 0.648
Ag: 0.275 0.500 0.775
Ag: 0.352 0.000 0.352
Ag: 0.500 0.275 0.775
Ag: 0.500 0.725 0.225
Ag: 0.648 0.000 0.648
Ag: 0.725 0.500 0.225

---

Entry 3:
First-principles (PBE-GGA) data for a relaxed structure of Ba3Mg4Ag2, as listed in Alexandria.

Computed properties:
* energy of formation: -118.0 meV per atom
* symmetry: C2/m
* uncorrected energy: -2.101 eV per atom

Cell: 6.629 6.629 10.050 Å, 105.58 105.58 46.46°
Fractional coordinates of all 9 atoms:
Ba: 0.000 0.000 0.000
Ba: 0.381 0.381 0.311
Ba: 0.619 0.619 0.689
Mg: 0.127 0.127 0.429
Mg: 0.278 0.278 0.926
Mg: 0.722 0.722 0.074
Mg: 0.873 0.873 0.571
Ag: 0.331 0.331 0.673
Ag: 0.669 0.669 0.327

---

Entry 4:
First-principles (PBE-GGA) data for a relaxed structure of Ba3MgAg3, as listed in Alexandria.

Computed properties:
* energy of formation: -111.8 meV per atom
* symmetry: P6_3/m
* uncorrected energy: -2.386 eV per atom

Cell: 9.981 9.981 6.751 Å, 90.00 90.00 120.00°
Fractional coordinates of all 14 atoms:
Ba: 0.064 0.700 0.250
Ba: 0.300 0.363 0.250
Ba: 0.363 0.064 0.750
Ba: 0.637 0.936 0.250
Ba: 0.700 0.637 0.750
Ba: 0.936 0.300 0.750
Mg: 0.333 0.667 0.750
Mg: 0.667 0.333 0.250
Ag: 0.065 0.685 0.750
Ag: 0.315 0.380 0.750
Ag: 0.380 0.065 0.250
Ag: 0.620 0.935 0.750
Ag: 0.685 0.620 0.250
Ag: 0.935 0.315 0.250

---

Entry 5:
First-principles (PBE-GGA) data for a relaxed structure of Ba3Mg9Ag2, as listed in Alexandria.

Computed properties:
* energy of formation: -68.5 meV per atom
* symmetry: Immm
* uncorrected energy: -1.913 eV per atom

Cell: 9.545 9.545 9.545 Å, 148.96 107.55 80.89°
Fractional coordinates of all 14 atoms:
Ba: 0.000 0.000 0.000
Ba: 0.311 0.311 0.000
Ba: 0.689 0.689 0.000
Mg: 0.021 0.672 0.350
Mg: 0.169 0.887 0.282
Mg: 0.322 0.672 0.650
Mg: 0.395 0.113 0.282
Mg: 0.500 0.000 0.500
Mg: 0.605 0.887 0.718
Mg: 0.678 0.328 0.350
Mg: 0.831 0.113 0.718
Mg: 0.979 0.328 0.650
Ag: 0.279 0.500 0.779
Ag: 0.721 0.500 0.221

---

Entry 6:
First-principles (PBE-GGA) data for a relaxed structure of BaMg2Ag6, as listed in Alexandria.

Computed properties:
* energy of formation: -60.5 meV per atom
* symmetry: Immm
* uncorrected energy: -2.529 eV per atom

Cell: 8.072 8.072 8.072 Å, 150.71 121.97 66.32°
Fractional coordinates of all 9 atoms:
Ba: 0.000 0.000 0.000
Mg: 0.370 0.870 0.500
Mg: 0.630 0.130 0.500
Ag: 0.001 0.312 0.689
Ag: 0.331 0.500 0.831
Ag: 0.376 0.688 0.689
Ag: 0.624 0.312 0.311
Ag: 0.669 0.500 0.169
Ag: 0.999 0.688 0.311

---

Entry 7:
First-principles (PBE-GGA) data for a relaxed structure of BaMgAg4, as listed in Alexandria.

Computed properties:
* energy of formation: 267.9 meV per atom
* symmetry: P4/mmm
* uncorrected energy: -2.219 eV per atom

Cell: 5.005 5.005 7.639 Å, 90.00 90.00 90.00°
Fractional coordinates of all 6 atoms:
Ba: 0.000 0.000 0.000
Mg: 0.500 0.500 0.500
Ag: 0.000 0.500 0.500
Ag: 0.500 0.000 0.500
Ag: 0.500 0.500 0.171
Ag: 0.500 0.500 0.829

---

Entry 8:
First-principles (PBE-GGA) data for a relaxed structure of BaMg2Ag, as listed in Alexandria.

Computed properties:
* energy of formation: 85.8 meV per atom
* symmetry: I-42d
* uncorrected energy: -1.905 eV per atom

Cell: 5.502 5.502 19.402 Å, 90.00 90.00 90.00°
Fractional coordinates of all 16 atoms:
Ba: 0.000 0.000 0.000
Ba: 0.000 0.500 0.250
Ba: 0.500 0.000 0.750
Ba: 0.500 0.500 0.500
Mg: 0.002 0.250 0.625
Mg: 0.250 0.502 0.875
Mg: 0.250 0.998 0.375
Mg: 0.498 0.250 0.125
Mg: 0.502 0.750 0.125
Mg: 0.750 0.002 0.375
Mg: 0.750 0.498 0.875
Mg: 0.998 0.750 0.625
Ag: 0.000 0.000 0.500
Ag: 0.000 0.500 0.750
Ag: 0.500 0.000 0.250
Ag: 0.500 0.500 0.000

---

Entry 9:
First-principles (PBE-GGA) data for a relaxed structure of Ba3Mg7Ag2, as listed in Alexandria.

Computed properties:
* energy of formation: -137.8 meV per atom
* symmetry: R-3m
* uncorrected energy: -2.024 eV per atom

Cell: 10.243 10.243 10.243 Å, 37.68 37.68 37.68°
Fractional coordinates of all 12 atoms:
Ba: 0.000 0.000 0.000
Ba: 0.148 0.148 0.148
Ba: 0.852 0.852 0.852
Mg: 0.081 0.570 0.570
Mg: 0.430 0.430 0.919
Mg: 0.430 0.919 0.430
Mg: 0.500 0.500 0.500
Mg: 0.570 0.081 0.570
Mg: 0.570 0.570 0.081
Mg: 0.919 0.430 0.430
Ag: 0.332 0.332 0.332
Ag: 0.668 0.668 0.668

---

Entry 10:
First-principles (PBE-GGA) data for a relaxed structure of BaMg2Ag2, as listed in Alexandria.

Computed properties:
* energy of formation: -93.3 meV per atom
* symmetry: P4/mbm
* uncorrected energy: -2.256 eV per atom

Cell: 8.724 8.724 3.199 Å, 90.00 90.00 90.00°
Fractional coordinates of all 10 atoms:
Ba: 0.000 0.000 0.000
Ba: 0.500 0.500 0.000
Mg: 0.122 0.378 0.000
Mg: 0.378 0.878 0.000
Mg: 0.622 0.122 0.000
Mg: 0.878 0.622 0.000
Ag: 0.169 0.669 0.500
Ag: 0.331 0.169 0.500
Ag: 0.669 0.831 0.500
Ag: 0.831 0.331 0.500

---

Entry 11:
First-principles (PBE-GGA) data for a relaxed structure of Ba2Mg2Ag, as listed in Alexandria.

Computed properties:
* energy of formation: 1.5 meV per atom
* symmetry: I4/mmm
* uncorrected energy: -1.976 eV per atom

Cell: 4.224 4.224 20.983 Å, 90.00 90.00 90.00°
Fractional coordinates of all 10 atoms:
Ba: 0.000 0.000 0.095
Ba: 0.000 0.000 0.905
Ba: 0.500 0.500 0.405
Ba: 0.500 0.500 0.595
Mg: 0.000 0.500 0.250
Mg: 0.000 0.500 0.750
Mg: 0.500 0.000 0.250
Mg: 0.500 0.000 0.750
Ag: 0.000 0.000 0.500
Ag: 0.500 0.500 0.000

---

Entry 12:
First-principles (PBE-GGA) data for a relaxed structure of BaMg2Ag2, as listed in Alexandria.

Computed properties:
* energy of formation: -62.4 meV per atom
* symmetry: P4/mbm
* uncorrected energy: -2.225 eV per atom

Cell: 8.738 8.738 3.281 Å, 90.00 90.00 90.00°
Fractional coordinates of all 10 atoms:
Ba: 0.000 0.000 0.000
Ba: 0.500 0.500 0.000
Mg: 0.141 0.359 0.500
Mg: 0.359 0.859 0.500
Mg: 0.641 0.141 0.500
Mg: 0.859 0.641 0.500
Ag: 0.140 0.640 0.000
Ag: 0.360 0.140 0.000
Ag: 0.640 0.860 0.000
Ag: 0.860 0.360 0.000